This record from Alexandria via LeMat-Bulk describes a relaxed structure of Y2Zn15Ru2. The functional is PBE.

Summary:
- DOS at the Fermi energy (states/eV/cell) = 5.98
- symmetry = R-3m
- energy of formation (eV/atom) = -0.211
- final energy (eV for the cell shown) = -54.6

Cell lengths 6.753, 6.753, 6.753 Å; angles 83.20, 83.20, 83.20 degrees
Sites, in units of the cell vectors:
Zn 0.649 0.649 0.150
Ru 0.899 0.899 0.899
Zn 0.000 0.713 0.287
Y 0.668 0.668 0.668
Zn 0.000 0.287 0.713
Zn 0.150 0.649 0.649
Y 0.332 0.332 0.332
Zn 0.351 0.351 0.850
Zn 0.850 0.351 0.351
Zn 0.287 0.713 0.000
Zn 0.713 0.287 0.000
Zn 0.500 0.000 0.000
Zn 0.713 0.000 0.287
Zn 0.351 0.850 0.351
Ru 0.101 0.101 0.101
Zn 0.000 0.000 0.500
Zn 0.000 0.500 0.000
Zn 0.649 0.150 0.649
Zn 0.287 0.000 0.713